Entry 1:
The following is a SCAN calculation of a crystal of OsRu2Pb relaxed with PBEsol, from Alexandria.

a b c (Å): 2.8787 2.8787 7.5777
angles (deg): 90.00 90.00 90.00
Last column: nearest neighbours and their distance in Å.
Fractional positions:
Ru: 0.0000 0.0000 0.2245  4 Os 2.65, 4 Ru 2.88, 4 Pb 2.92
Ru: 0.0000 0.0000 0.7755  4 Os 2.65, 4 Ru 2.88, 4 Pb 2.92
Pb: 0.5000 0.5000 0.5000  4 Pb 2.88, 8 Ru 2.92
Os: 0.5000 0.5000 0.0000  8 Ru 2.65, 4 Os 2.88

Calculated values
Its total magnetic moment is 0.00 μB/f.u. For the energy of formation from the pure elements, the calculation gives 539 meV/atom. As for the space group: P4/mmm.



Entry 2:
The following is a SCAN calculation of a crystal of YTcIO2 relaxed with PBEsol, from Alexandria.

a b c (Å): 3.9963 3.9963 5.4206
angles (deg): 90.00 90.00 90.00
Last column: nearest neighbours and their distance in Å.
Fractional positions:
O: 0.5000 0.0000 0.0000  2 Tc 2.00
Tc: 0.0000 0.0000 0.0000  4 O 2.00
O: 0.0000 0.5000 0.0000  2 Tc 2.00
I: 0.0000 0.0000 0.5000  2 Tc 2.71, 4 Y 2.83
Y: 0.5000 0.5000 0.5000  4 I 2.83

Calculated values
Its total magnetic moment is 0.00 μB/f.u. The value obtained for the uncorrected formation energy is -3.7 eV per formula unit. As for the space group: P4/mmm.



Entry 3:
The following is a SCAN calculation of a crystal of AlRh2Br relaxed with PBEsol, from Alexandria.

a b c (Å): 2.9826 2.9826 7.3362
angles (deg): 90.00 90.00 90.00
Last column: nearest neighbours and their distance in Å.
Fractional positions:
Al: 0.0000 0.0000 0.4360  4 Rh 2.47
Rh: 0.5000 0.5000 0.2612  4 Al 2.47, 4 Rh 2.76
Br: 0.5000 0.5000 0.7843  4 Rh 2.72, 4 Br 2.98
Rh: 0.0000 0.0000 0.0184  4 Br 2.72, 8 Rh 2.76-2.98

Calculated values
The value obtained for the polymorph energy (0 for the lowest one) is 0 meV/atom. Its total magnetic moment is 1.45 μB/f.u. The value obtained for the uncorrected formation energy is 0.1 eV per formula unit. As for the space group: P4mm.



Entry 4:
The following is a SCAN calculation of a crystal of ThSiOs2C relaxed with PBEsol, from Alexandria.

a b c (Å): 3.9514 5.9198 7.1258
angles (deg): 90.00 90.00 109.50
Last column: nearest neighbours and their distance in Å.
Fractional positions:
Th: 0.5535 0.1069 0.7500  4 C 2.73
Os: 0.1658 0.3315 0.0568  1 C 1.89
Si: 0.7274 0.4547 0.2500  6 Os 2.49-2.50
C: 0.0000 0.0000 0.0000  2 Os 1.89
Th: 0.4465 0.8931 0.2500  4 C 2.73
Os: 0.8342 0.6685 0.9432  1 C 1.89
Os: 0.1658 0.3315 0.4432  1 C 1.89
Si: 0.2726 0.5453 0.7500  6 Os 2.49-2.50
Os: 0.8342 0.6685 0.5568  1 C 1.89
C: 0.0000 0.0000 0.5000  2 Os 1.89

Calculated values
Its total magnetic moment is 0.00 μB/f.u. The value obtained for the uncorrected formation energy is -2.8 eV per formula unit. As for the space group: Cmcm.



Entry 5:
The following is a SCAN calculation of a crystal of MnFe2Se relaxed with PBEsol, from Alexandria.

a b c (Å): 3.5300 3.5300 4.3804
angles (deg): 113.76 113.76 90.00
Last column: nearest neighbours and their distance in Å.
Fractional positions:
Se: 0.2500 0.7500 0.5000  8 Fe 2.50-2.52, 4 Mn 2.52
Mn: 0.5000 0.5000 0.0000  8 Fe 2.50-2.52, 4 Se 2.52
Fe: 0.7500 0.2500 0.5000  4 Se 2.50, 4 Mn 2.52, 4 Fe 2.52
Fe: 0.0000 0.0000 0.0000  4 Mn 2.50, 4 Se 2.52, 4 Fe 2.52

Calculated values
Its total magnetic moment is 1.05 μB/f.u. The value obtained for the uncorrected formation energy is 1.5 eV per formula unit. As for the space group: I-4m2.



Entry 6:
The following is a SCAN calculation of a crystal of Y4RePb relaxed with PBEsol, from Alexandria.

a b c (Å): 5.9256 5.9256 5.9256
angles (deg): 60.00 60.00 60.00
Last column: nearest neighbours and their distance in Å.
Fractional positions:
Pb: 0.7500 0.7500 0.7500  12 Y 3.48, 4 Re 3.63
Y: 0.3729 0.3729 0.8812  6 Y 2.91-3.01
Y: 0.8812 0.3729 0.3729  6 Y 2.91-3.01
Y: 0.3729 0.8812 0.3729  6 Y 2.91-3.01
Re: 0.0000 0.0000 0.0000  12 Y 3.47, 4 Pb 3.63
Y: 0.3729 0.3729 0.3729  6 Y 2.91-3.01

Calculated values
Its total magnetic moment is 0.00 μB/f.u. For the energy of formation from the pure elements, the calculation gives 762 meV/atom. As for the space group: F-43m.



Entry 7:
The following is a SCAN calculation of a crystal of SbAu2 relaxed with PBEsol, from Alexandria.

a b c (Å): 5.4807 5.7202 5.4807
angles (deg): 61.38 90.00 118.62
Last column: nearest neighbours and their distance in Å.
Fractional positions:
Au: 0.6773 0.0000 0.8227  5 Au 2.75-2.85, 4 Sb 2.92
Au: 0.3227 0.0000 0.1773  5 Au 2.75-2.85, 4 Sb 2.92
Sb: 0.2500 0.5000 0.7500  8 Au 2.92
Au: 0.8227 0.0000 0.3227  5 Au 2.75-2.85, 4 Sb 2.92
Sb: 0.7500 0.5000 0.2500  8 Au 2.92
Au: 0.1773 0.0000 0.6773  5 Au 2.75-2.85, 4 Sb 2.92

Calculated values
Its total magnetic moment is 0.00 μB/f.u. The value obtained for the uncorrected formation energy is 0.0 eV per formula unit. As for the space group: I4/mcm.



Entry 8:
The following is a SCAN calculation of a crystal of Zr3BePb relaxed with PBEsol, from Alexandria.

a b c (Å): 5.2822 5.2822 5.2822
angles (deg): 90.00 90.00 90.00
Last column: nearest neighbours and their distance in Å.
Fractional positions:
Be: 0.5000 0.5000 0.5000  12 Zr 3.74
Zr: 0.5000 0.0000 0.0000  2 Pb 2.64
Pb: 0.0000 0.0000 0.0000  6 Zr 2.64
Zr: 0.0000 0.5000 0.0000  2 Pb 2.64
Zr: 0.0000 0.0000 0.5000  2 Pb 2.64

Calculated values
Its total magnetic moment is 0.00 μB/f.u. For the energy of formation from the pure elements, the calculation gives 1358 meV/atom. As for the space group: Pm-3m.



Entry 9:
The following is a SCAN calculation of a crystal of CdTc2HRh relaxed with PBEsol, from Alexandria.

a b c (Å): 2.9344 4.9863 4.9863
angles (deg): 90.00 90.00 90.00
Last column: nearest neighbours and their distance in Å.
Fractional positions:
Tc: 0.0000 0.5000 0.0000  2 Cd 2.49
Rh: 0.5000 0.5000 0.5000  8 Tc 2.89, 2 Rh 2.93
H: 0.5000 0.0000 0.0000  2 Cd 1.47
Tc: 0.0000 0.0000 0.5000  2 Cd 2.49
Cd: 0.0000 0.0000 0.0000  2 H 1.47

Calculated values
Its total magnetic moment is 0.00 μB/f.u. The value obtained for the total energy is -25.80 eV/atom. As for the space group: P4/mmm.



Entry 10:
The following is a SCAN calculation of a crystal of Fe11Co5 relaxed with PBEsol, from Alexandria.

a b c (Å): 5.5856 5.6037 5.6037
angles (deg): 90.00 90.00 90.00
Last column: nearest neighbours and their distance in Å.
Fractional positions:
Fe: 0.7501 0.7498 0.2502  5 Co 2.42, 3 Fe 2.42-2.43
Fe: 0.5000 0.0000 0.0000  8 Fe 2.43
Fe: 0.7501 0.2502 0.2502  5 Co 2.42, 3 Fe 2.42-2.43
Co: 0.5000 0.0000 0.5000  8 Fe 2.42
Fe: 0.2499 0.7498 0.2502  5 Co 2.42, 3 Fe 2.42-2.43
Co: 0.0000 0.5000 0.0000  8 Fe 2.42
Co: 0.0000 0.0000 0.5000  8 Fe 2.42
Fe: 0.0000 0.0000 0.0000  8 Fe 2.43
Fe: 0.2499 0.7498 0.7498  5 Co 2.42, 3 Fe 2.42-2.43
Co: 0.5000 0.5000 0.0000  8 Fe 2.42
Fe: 0.2499 0.2502 0.2502  5 Co 2.42, 3 Fe 2.42-2.43
Fe: 0.7501 0.2502 0.7498  5 Co 2.42, 3 Fe 2.42-2.43
Fe: 0.2499 0.2502 0.7498  5 Co 2.42, 3 Fe 2.42-2.43
Co: 0.0000 0.5000 0.5000  8 Fe 2.42
Fe: 0.7501 0.7498 0.7498  5 Co 2.42, 3 Fe 2.42-2.43
Fe: 0.5000 0.5000 0.5000  8 Fe 2.42

Calculated values
Its total magnetic moment is 37.87 μB/f.u. For the energy of formation from the pure elements, the calculation gives -174 meV/atom. As for the space group: P4/mmm.



Entry 11:
The following is a SCAN calculation of a crystal of InCu2Pt relaxed with PBEsol, from Alexandria.

a b c (Å): 3.8136 3.8136 4.7871
angles (deg): 113.47 113.47 90.00
Last column: nearest neighbours and their distance in Å.
Fractional positions:
Pt: 0.2500 0.7500 0.5000  8 Cu 2.70-2.75, 4 In 2.75
Cu: 0.7500 0.2500 0.5000  4 Pt 2.70, 4 In 2.75, 4 Cu 2.75
In: 0.0000 0.0000 0.0000  8 Cu 2.70-2.75, 4 Pt 2.75
Cu: 0.5000 0.5000 0.0000  4 In 2.70, 4 Cu 2.75, 4 Pt 2.75

Calculated values
Its total magnetic moment is 0.00 μB/f.u. For the energy of formation from the pure elements, the calculation gives -237 meV/atom. As for the space group: I-4m2.



Entry 12:
The following is a SCAN calculation of a crystal of La2Re relaxed with PBEsol, from Alexandria.

a b c (Å): 4.1641 6.7769 6.7769
angles (deg): 120.00 90.00 90.00
Last column: nearest neighbours and their distance in Å.
Fractional positions:
Re: 0.5000 0.6667 0.3333  6 La 2.86
Re: 0.5000 0.3333 0.6667  6 La 2.86
La: 0.0000 0.5000 0.5000  4 Re 2.86
La: 0.0000 0.0000 0.5000  4 Re 2.86
La: 0.0000 0.5000 0.0000  4 Re 2.86
La: 0.5000 0.0000 0.0000  6 Re 3.91, 14 La 3.98-4.16

Calculated values
The value obtained for the polymorph energy (0 for the lowest one) is 313 meV/atom. Its total magnetic moment is 0.00 μB/f.u. For the energy of formation from the pure elements, the calculation gives 498 meV/atom. As for the space group: P6/mmm.



Question: Which of these has the highest total magnetic moment?
Answer: Fe11Co5



Repeat the tenth record exactly.
The following is a SCAN calculation of a crystal of Fe11Co5 relaxed with PBEsol, from Alexandria.

a b c (Å): 5.5856 5.6037 5.6037
angles (deg): 90.00 90.00 90.00
Last column: nearest neighbours and their distance in Å.
Fractional positions:
Fe: 0.7501 0.7498 0.2502  5 Co 2.42, 3 Fe 2.42-2.43
Fe: 0.5000 0.0000 0.0000  8 Fe 2.43
Fe: 0.7501 0.2502 0.2502  5 Co 2.42, 3 Fe 2.42-2.43
Co: 0.5000 0.0000 0.5000  8 Fe 2.42
Fe: 0.2499 0.7498 0.2502  5 Co 2.42, 3 Fe 2.42-2.43
Co: 0.0000 0.5000 0.0000  8 Fe 2.42
Co: 0.0000 0.0000 0.5000  8 Fe 2.42
Fe: 0.0000 0.0000 0.0000  8 Fe 2.43
Fe: 0.2499 0.7498 0.7498  5 Co 2.42, 3 Fe 2.42-2.43
Co: 0.5000 0.5000 0.0000  8 Fe 2.42
Fe: 0.2499 0.2502 0.2502  5 Co 2.42, 3 Fe 2.42-2.43
Fe: 0.7501 0.2502 0.7498  5 Co 2.42, 3 Fe 2.42-2.43
Fe: 0.2499 0.2502 0.7498  5 Co 2.42, 3 Fe 2.42-2.43
Co: 0.0000 0.5000 0.5000  8 Fe 2.42
Fe: 0.7501 0.7498 0.7498  5 Co 2.42, 3 Fe 2.42-2.43
Fe: 0.5000 0.5000 0.5000  8 Fe 2.42

Calculated values
Its total magnetic moment is 37.87 μB/f.u. For the energy of formation from the pure elements, the calculation gives -174 meV/atom. As for the space group: P4/mmm.



Question: Among the records above, which one has the highest total magnetic moment?
Answer: Fe11Co5



Question: Which of these has the highest total magnetic moment?
Answer: Fe11Co5